Compound: TlAg3GeSe4
Source: the Open Quantum Materials Database
Functional: PBE-GGA
Structure: relaxed

Results
ΔE to the lowest computed polymorph = 60 meV per atom
Final energy = -3.422 eV/atom

Cell lengths 6.5441, 6.5441, 6.5441 Å; angles 90.00, 90.00, 90.00 degrees
Last column: nearest neighbours and their distance in Å.
Element x y z (fractional)
Tl1 0.0000 0.0000 0.0000  4 Se 3.24
Ag1 0.0000 0.5000 0.5000  4 Se 2.73
Ag2 0.5000 0.0000 0.5000  4 Se 2.73
Ag3 0.5000 0.5000 0.0000  4 Se 2.73
Ge1 0.5000 0.5000 0.5000  4 Se 2.43
Se1 0.2855 0.2855 0.2855  1 Ge 2.43
Se2 0.2855 0.7145 0.7145  1 Ge 2.43
Se3 0.7145 0.2855 0.7145  1 Ge 2.43
Se4 0.7145 0.7145 0.2855  1 Ge 2.43

=====

Compound: TlAg3GeSe4
Source: the Open Quantum Materials Database
Functional: PBE-GGA
Structure: relaxed

Results
ΔE to the lowest computed polymorph = 0 meV per atom
Final energy = -3.482 eV/atom

Cell lengths 6.6671, 7.7128, 10.4929 Å; angles 90.00, 107.50, 90.00 degrees
Last column: nearest neighbours and their distance in Å.
Element x y z (fractional)
Tl1 0.2057 0.2500 0.1019  3 Se 3.16-3.34, 1 Ag 3.46
Tl2 0.7943 0.7500 0.8981  3 Se 3.16-3.34, 1 Ag 3.46
Ag1 0.2298 0.0538 0.5433  4 Se 2.66-2.91
Ag2 0.2298 0.4462 0.5433  4 Se 2.66-2.91
Ag3 0.3351 0.2500 0.8060  3 Se 2.55-2.74
Ag4 0.6649 0.7500 0.1940  3 Se 2.55-2.74
Ag5 0.7702 0.5538 0.4567  4 Se 2.66-2.91
Ag6 0.7702 0.9462 0.4567  4 Se 2.66-2.91
Ge1 0.1794 0.7500 0.2795  4 Se 2.36-2.42
Ge2 0.8206 0.2500 0.7205  4 Se 2.36-2.42
Se1 0.0367 0.5041 0.7276  1 Ge 2.42, 1 Ag 2.66
Se2 0.0367 0.9959 0.7276  1 Ge 2.42, 1 Ag 2.66
Se3 0.2694 0.7500 0.0785  1 Ge 2.36, 1 Ag 2.55
Se4 0.4521 0.7500 0.4926  1 Ge 2.42
Se5 0.5479 0.2500 0.5074  1 Ge 2.42
Se6 0.7306 0.2500 0.9215  1 Ge 2.36, 1 Ag 2.55
Se7 0.9633 0.0041 0.2724  1 Ge 2.42, 1 Ag 2.66
Se8 0.9633 0.4959 0.2724  1 Ge 2.42, 1 Ag 2.66

=====

Compound: SiAgGe2
Source: the Open Quantum Materials Database
Functional: PBE-GGA
Structure: relaxed

Results
Final energy = -3.941 eV/atom

Cell lengths 4.6922, 4.6922, 4.6922 Å; angles 60.00, 60.00, 60.00 degrees
Last column: nearest neighbours and their distance in Å.
Element x y z (fractional)
Si1 0.0000 0.0000 0.0000  4 Ge 2.87, 4 Ag 2.87
Ag1 0.2500 0.2500 0.2500  4 Ge 2.87, 4 Si 2.87
Ge1 0.5000 0.5000 0.5000  4 Ge 2.87, 4 Ag 2.87
Ge2 0.7500 0.7500 0.7500  4 Ge 2.87, 4 Si 2.87

=====

Compound: Si2AgGe
Source: the Open Quantum Materials Database
Functional: PBE-GGA
Structure: relaxed

Results
Final energy = -4.065 eV/atom

Cell lengths 4.6137, 4.6137, 4.6137 Å; angles 60.00, 60.00, 60.00 degrees
Last column: nearest neighbours and their distance in Å.
Element x y z (fractional)
Si1 0.0000 0.0000 0.0000  4 Si 2.83, 4 Ag 2.83
Si2 0.2500 0.2500 0.2500  4 Ge 2.83, 4 Si 2.83
Ag1 0.7500 0.7500 0.7500  4 Ge 2.83, 4 Si 2.83
Ge1 0.5000 0.5000 0.5000  4 Si 2.83, 4 Ag 2.83

=====

Compound: Si17AgGe14
Source: the Open Quantum Materials Database
Functional: PBE-GGA
Structure: relaxed

Results
Final energy = -4.918 eV/atom

Cell lengths 5.5968, 3.9396, 31.6566 Å; angles 90.00, 90.12, 90.00 degrees
Last column: nearest neighbours and their distance in Å.
Element x y z (fractional)
Si1 0.0000 0.0000 0.0000  3 Si 2.37-2.39, 1 Ge 2.43
Si2 0.9999 0.0000 0.5002  3 Si 2.37-2.38, 1 Ge 2.43
Si3 0.0010 0.0000 0.7506  3 Si 2.36-2.38, 1 Ge 2.43
Si4 0.0066 0.0000 0.2504  2 Si 2.34, 2 Ge 2.41
Si5 0.2332 0.5000 0.2491  2 Si 2.34, 1 Ge 2.40, 1 Ag 2.46
Si6 0.2394 0.5000 0.5016  3 Si 2.36-2.38, 1 Ge 2.43
Si7 0.2402 0.5000 0.7518  3 Si 2.37-2.38, 1 Ge 2.43
Si8 0.2431 0.5000 0.0006  4 Si 2.38-2.39
Si9 0.2439 0.5000 0.3783  3 Ge 2.39-2.41, 1 Ag 2.46
Si10 0.2512 0.5000 0.1243  1 Si 2.37, 3 Ge 2.42
Si11 0.4884 0.5000 0.0623  2 Si 2.37-2.38, 2 Ge 2.43
Si12 0.4900 0.5000 0.5618  1 Si 2.36, 3 Ge 2.42
Si13 0.4900 0.5000 0.8123  1 Si 2.37, 3 Ge 2.42-2.43
Si14 0.5003 0.5000 0.9405  3 Si 2.39, 1 Ge 2.44
Si15 0.7424 0.0000 0.9404  3 Si 2.37-2.39, 1 Ge 2.43
Si16 0.7466 0.0000 0.4402  1 Si 2.37, 3 Ge 2.42
Si17 0.7508 0.0000 0.6904  1 Si 2.36, 3 Ge 2.42
Ag1 0.4830 0.5000 0.3132  2 Si 2.46, 2 Ge 2.51
Ge1 0.0012 0.0000 0.1254  2 Si 2.42, 2 Ge 2.47-2.48
Ge2 0.0010 0.0000 0.3785  3 Si 2.39-2.42, 1 Ge 2.48
Ge3 0.2517 0.5000 0.6255  1 Si 2.42, 3 Ge 2.46-2.48
Ge4 0.2547 0.5000 0.8768  2 Si 2.43-2.44, 2 Ge 2.47
Ge5 0.4879 0.5000 0.1884  2 Si 2.40-2.42, 2 Ge 2.45
Ge6 0.4967 0.5000 0.4399  4 Si 2.41-2.43
Ge7 0.5005 0.5000 0.6905  3 Si 2.42-2.43, 1 Ge 2.48
Ge8 0.7404 0.0000 0.5617  3 Si 2.42-2.43, 1 Ge 2.48
Ge9 0.7412 0.0000 0.0617  3 Si 2.43, 1 Ge 2.48
Ge10 0.7416 0.0000 0.8119  3 Si 2.42-2.43, 1 Ge 2.49
Ge11 0.7481 0.0000 0.1894  1 Si 2.41, 3 Ge 2.45-2.47
Ge12 0.7606 0.0000 0.3127  1 Si 2.41, 1 Ge 2.48, 2 Ag 2.51
Ge13 0.9893 0.0000 0.6267  1 Si 2.42, 3 Ge 2.46-2.48
Ge14 0.9894 0.0000 0.8772  1 Si 2.43, 3 Ge 2.47-2.49

=====

Compound: SmSiAg2Ge
Source: the Open Quantum Materials Database
Functional: PBE-GGA
Structure: relaxed

Results
Final energy = -4.500 eV/atom

Cell lengths 6.2537, 6.2537, 6.2537 Å; angles 140.32, 140.32, 57.36 degrees
Last column: nearest neighbours and their distance in Å.
Element x y z (fractional)
Sm1 0.0000 0.0000 0.0000  4 Ge 3.22, 4 Si 3.24, 8 Ag 3.42-3.52
Si1 0.3896 0.3896 0.0000  1 Ge 2.38, 4 Ag 2.58
Ag1 0.2557 0.7557 0.5000  2 Si 2.58, 2 Ge 2.68
Ag2 0.7557 0.2557 0.5000  2 Si 2.58, 2 Ge 2.68
Ge1 0.6063 0.6063 0.0000  1 Si 2.38

=====

Compound: SrSiAg2Ge
Source: the Open Quantum Materials Database
Functional: PBE-GGA
Structure: relaxed

Results
Final energy = -3.797 eV/atom

Cell lengths 6.2158, 6.2158, 6.2158 Å; angles 137.96, 137.96, 60.96 degrees
Last column: nearest neighbours and their distance in Å.
Element x y z (fractional)
Sr1 0.0000 0.0000 0.0000  4 Ge 3.36, 4 Si 3.39, 8 Ag 3.45-3.52
Si1 0.3833 0.3833 0.0000  1 Ge 2.41, 4 Ag 2.62
Ag1 0.2542 0.7542 0.5000  2 Si 2.62, 2 Ge 2.72
Ag2 0.7542 0.2542 0.5000  2 Si 2.62, 2 Ge 2.72
Ge1 0.6083 0.6083 0.0000  1 Si 2.41

=====

Compound: Sr2SiAgGe2
Source: the Open Quantum Materials Database
Functional: PBE-GGA
Structure: relaxed

Results
Final energy = -3.980 eV/atom

Cell lengths 8.8189, 8.6627, 6.3500 Å; angles 70.02, 67.39, 42.59 degrees
Last column: nearest neighbours and their distance in Å.
Element x y z (fractional)
Sr1 0.2474 0.7526 0.2474  8 Ge 3.36-3.46, 2 Si 3.36, 2 Ag 3.46
Sr2 0.2500 0.2500 0.2500  4 Ag 3.40, 4 Ge 3.41, 4 Si 3.43
Sr3 0.7500 0.7500 0.7500  4 Ag 3.40, 4 Ge 3.41, 4 Si 3.43
Sr4 0.7526 0.2474 0.7526  8 Ge 3.36-3.46, 2 Si 3.36, 2 Ag 3.46
Si1 0.1636 0.1636 0.8364  2 Ge 2.43, 1 Ag 2.50
Si2 0.8364 0.8364 0.1636  2 Ge 2.43, 1 Ag 2.50
Ag1 0.3303 0.3303 0.6697  1 Si 2.50, 2 Ge 2.58
Ag2 0.6697 0.6697 0.3303  1 Si 2.50, 2 Ge 2.58
Ge1 0.1604 0.6734 0.8396  1 Si 2.43, 1 Ge 2.49, 1 Ag 2.58
Ge2 0.3266 0.8396 0.6734  1 Si 2.43, 1 Ge 2.49, 1 Ag 2.58
Ge3 0.6734 0.1604 0.3266  1 Si 2.43, 1 Ge 2.49, 1 Ag 2.58
Ge4 0.8396 0.3266 0.1604  1 Si 2.43, 1 Ge 2.49, 1 Ag 2.58